A plane-wave DFT calculation with GGA-PBE was carried out for a relaxed structure of ScBe2Tc.

a = 3.931 Å, b = 3.931 Å, c = 16.292 Å
α = 90.00°, β = 90.00°, γ = 90.00°
Space group I-42d (No. 122)
Asymmetric unit:
Sc 0.000 0.000 0.000 (multiplicity 4)
Be 0.065 0.250 0.625 (multiplicity 8)
Tc 0.000 0.000 0.500 (multiplicity 4)

Computed properties:
The value obtained for the energy above the most stable polymorph in this dataset is 579 meV per atom. The total energy comes out at -5.683 eV/atom. The energy relative to the elements comes out at 355.0 meV/atom. The spin magnetization is 0.000 Bohr magnetons per cell.